[1]
KPmSe2 (GGA-PBE, optimized geometry); raw formation energy = -1.7599 eV/atom; E = -19.86 eV/cell; SG = R-3m
1.0
4.3198 0.0000 0.0000
2.1599 3.7411 0.0000
2.1599 1.2470 7.7010
Pm Se K
1 2 1
direct
0.0000 0.0000 0.0000 Pm
0.7366 0.7366 0.7902 Se
0.2634 0.2634 0.2098 Se
0.5000 0.5000 0.5000 K

[2]
Ag2Au (GGA-PBE, optimized geometry); distance to the lowest polymorph of the same formula = 119 meV per atom; E = -17.47 eV/cell; SG = I4/mcm
1.0
-3.2837 3.2837 2.7218
3.2837 -3.2837 2.7218
3.2837 3.2837 -2.7218
Au Ag
2 4
direct
0.7500 0.7500 0.0000 Au
0.2500 0.2500 0.0000 Au
0.6521 0.8479 0.5000 Ag
0.3479 0.1521 0.5000 Ag
0.8479 0.3479 0.1957 Ag
0.1521 0.6521 0.8043 Ag

[3]
NaCu3Pb (GGA-PBE, optimized geometry); distance to the lowest polymorph of the same formula = 0 meV per atom; E = -14.48 eV/cell; SG = Pm-3m
1.0
5.0361 0.0000 0.0000
0.0000 5.0361 0.0000
0.0000 0.0000 5.0361
Pb Cu Na
1 3 1
direct
0.0000 0.0000 0.0000 Pb
0.5000 0.0000 0.0000 Cu
0.0000 0.5000 0.0000 Cu
0.0000 0.0000 0.5000 Cu
0.5000 0.5000 0.5000 Na

[4]
BaInIr (GGA-PBE, optimized geometry); E = -14.11 eV/cell; SG = P-6m2
1.0
-2.0378 3.2436 2.5822
1.3703 -3.9665 1.9314
4.3251 1.9583 0.9533
In Ir Ba
1 1 1
direct
0.3333 0.6667 0.5003 In
0.6667 0.3333 0.4996 Ir
0.0000 0.0000 0.0002 Ba

[5]
Pr3SnTe6 (GGA-PBE, optimized geometry); raw formation energy = -1.0995 eV/atom; E = -96.37 eV/cell; SG = Cmc2_1
1.0
-7.4404 0.8755 1.6048
-1.7163 -9.3388 -2.8625
1.9585 -1.0687 9.6630
Pr Te Sn
6 12 2
direct
0.9847 0.0874 0.2791 Pr
0.9847 0.7209 0.9126 Pr
0.4847 0.9126 0.7209 Pr
0.3775 0.4068 0.5932 Pr
0.8775 0.5932 0.4068 Pr
0.4847 0.2791 0.0874 Pr
0.6861 0.9704 0.0296 Te
0.1292 0.7761 0.2239 Te
0.6792 0.2995 0.3752 Te
0.2228 0.0922 0.5510 Te
0.7228 0.5510 0.0922 Te
0.6792 0.6248 0.7005 Te
0.1792 0.3752 0.2995 Te
0.7228 0.9078 0.4490 Te
0.1792 0.7005 0.6248 Te
0.6292 0.2239 0.7761 Te
0.2228 0.4490 0.9078 Te
0.1861 0.0296 0.9704 Te
0.5191 0.7972 0.2028 Sn
0.0191 0.2028 0.7972 Sn

[6]
Ca2Mg3Zn4 (GGA-PBE, optimized geometry); distance to the lowest polymorph of the same formula = 12 meV per atom; E = -15.21 eV/cell; SG = C2/m
1.0
-2.6877 7.9611 0.2916
-5.0766 5.9122 3.1561
3.4118 2.1967 4.4165
Zn Mg Ca
4 3 2
direct
0.4950 0.4950 0.2950 Zn
0.5050 0.5050 0.7050 Zn
0.2684 0.2684 0.6093 Zn
0.7316 0.7316 0.3907 Zn
0.8937 0.8937 0.5610 Mg
0.1063 0.1063 0.4390 Mg
0.0000 0.0000 0.0000 Mg
0.3351 0.3351 0.0725 Ca
0.6649 0.6649 0.9275 Ca

[7]
K2In4Pt (GGA-PBE, optimized geometry); E = -19.98 eV/cell; SG = I4/mmm
1.0
-0.3576 3.2586 -4.0319
-3.4566 -3.1619 -2.2489
-8.9871 4.6795 1.2305
In Pt K
4 1 2
direct
0.1419 0.1419 0.7162 In
0.0000 0.5000 0.0000 In
0.8581 0.8581 0.2838 In
0.5000 0.0000 0.0000 In
0.0000 0.0000 0.0000 Pt
0.6680 0.6680 0.6639 K
0.3320 0.3320 0.3361 K

[8]
Cs2Cd16In (GGA-PBE, optimized geometry); E = -19.77 eV/cell; SG = R3m
1.0
7.9872 -0.0047 0.8953
0.8000 7.9470 0.8953
-0.0052 -0.0047 8.0372
Cd Cs In
16 2 1
direct
0.2940 0.7061 0.0000 Cd
0.0000 0.2940 0.7061 Cd
0.3473 0.8521 0.3473 Cd
0.7061 0.0000 0.2940 Cd
0.0988 0.0988 0.0988 Cd
0.0021 0.4958 0.0021 Cd
0.2940 0.0000 0.7061 Cd
0.1489 0.6519 0.6519 Cd
0.8521 0.3473 0.3473 Cd
0.0021 0.0021 0.4958 Cd
0.4958 0.0021 0.0021 Cd
0.7061 0.2940 0.0000 Cd
0.6519 0.1489 0.6519 Cd
0.0000 0.7061 0.2940 Cd
0.3473 0.3473 0.8521 Cd
0.6519 0.6519 0.1489 Cd
0.6545 0.6545 0.6545 Cs
0.3460 0.3460 0.3460 Cs
0.9009 0.9009 0.9009 In

[9]
Pm2Y4Ho2Th (GGA-PBE, optimized geometry); E = -51.93 eV/cell; SG = C2/m
1.0
-1.2076 -0.1022 3.4031
9.0492 -2.8261 1.2091
-1.3331 9.4820 -0.1884
Ho Pm Y Th
2 2 4 1
direct
0.8522 0.7045 0.3360 Ho
0.1478 0.2955 0.6640 Ho
0.6641 0.3283 0.0011 Pm
0.3359 0.6717 0.9989 Pm
0.1848 0.3697 0.3338 Y
0.4817 0.9634 0.6694 Y
0.8152 0.6303 0.6662 Y
0.5183 0.0366 0.3306 Y
0.0000 0.0000 0.0000 Th

[10]
DyThCuPd (GGA-PBE, optimized geometry); distance to the lowest polymorph of the same formula = 0 meV per atom; E = -23.33 eV/cell; SG = Amm2
1.0
-1.9251 -1.3748 2.9095
1.4944 -4.2226 -1.0064
5.2223 1.4386 1.7187
Dy Th Pd Cu
1 1 1 1
direct
0.1407 0.0000 0.2813 Dy
0.8602 0.5000 0.7203 Th
0.5785 0.5000 0.1570 Pd
0.4207 0.0000 0.8414 Cu

[11]
AcScBi2O8 (GGA-PBE, optimized geometry); raw formation energy = -1.8369 eV/atom; E = -79.91 eV/cell; SG = I-4
1.0
5.4617 0.0000 0.0000
0.0000 5.4617 0.0000
-2.7308 -2.7308 5.7337
Bi O Sc Ac
2 8 1 1
direct
0.5000 0.5000 0.0000 Bi
0.2500 0.7500 0.5000 Bi
0.3285 0.9052 0.2955 O
0.1613 0.6338 0.8251 O
0.6097 0.6715 0.7045 O
0.9670 0.3903 0.2955 O
0.8087 0.8387 0.1749 O
0.6638 0.1913 0.8251 O
0.3662 0.3362 0.1749 O
0.0948 0.0330 0.7045 O
0.0000 0.0000 0.0000 Sc
0.7500 0.2500 0.5000 Ac

[12]
YPb2Se (GGA-PBE, optimized geometry); raw formation energy = -0.7068 eV/atom; E = -20.19 eV/cell; SG = Pm
1.0
3.7010 0.0000 0.0000
0.0000 3.7036 0.3760
0.0000 2.7930 8.7338
Pb Se Y
2 1 1
direct
0.0000 0.0118 0.9894 Pb
0.5000 0.2628 0.2429 Pb
0.0000 0.4315 0.5639 Se
0.5000 0.7940 0.7037 Y

no.,Fermi-level density of states (states/eV per atom)
1,0.00
2,0.19
3,0.11
4,0.44
5,0.33
6,0.43
7,0.66
8,0.35
9,1.43
10,0.89
11,0.01
12,0.35